Record 1
# BMo5 PBE-GGA relaxed
# Spin magnetization   0.00 μB per cell
data_BMo5
_symmetry_space_group_name_H-M 'P 1'
_symmetry_Int_Tables_number 1
_cell_length_a 4.898
_cell_length_b 4.898
_cell_length_c 4.913
_cell_angle_alpha 90.00
_cell_angle_beta 90.00
_cell_angle_gamma 120.00
loop_
_symmetry_equiv_pos_as_xyz
'x,y,z'
loop_
_atom_site_label
_atom_site_fract_x
_atom_site_fract_y
_atom_site_fract_z
Mo1 0.500 0.500 0.500
Mo2 0.000 0.500 0.500
Mo3 0.500 0.000 0.500
Mo4 0.333 0.667 0.000
B1 0.000 0.000 0.000
Mo5 0.667 0.333 0.000

=====

Record 2
# B2Mo PBE-GGA relaxed
# Spin magnetization   0.00 μB per cell
data_B2Mo
_symmetry_space_group_name_H-M 'P 1'
_symmetry_Int_Tables_number 1
_cell_length_a 3.031
_cell_length_b 3.031
_cell_length_c 3.329
_cell_angle_alpha 90.00
_cell_angle_beta 90.00
_cell_angle_gamma 120.00
loop_
_symmetry_equiv_pos_as_xyz
'x,y,z'
loop_
_atom_site_label
_atom_site_fract_x
_atom_site_fract_y
_atom_site_fract_z
Mo1 0.000 0.000 0.000
B1 0.333 0.667 0.500
B2 0.667 0.333 0.500

=====

no.,total DFT energy (no corrections) (eV per atom)
1,-8.957
2,-8.344